Computed, not measured: a relaxed structure of CeCdPd14 at the PBE level of DFT.

Properties
The space group is P4/mmm. The value obtained for the energy of formation from the pure elements is -0.2776 eV per atom.

Cell lengths 5.731, 5.731, 7.924 Å; angles 90.00, 90.00, 90.00 degrees
Fractional positions:
Ce  0.000  0.000  0.000
Cd  0.500  0.500  0.000
Pd  0.000  0.000  0.500
Pd  0.000  0.500  0.000
Pd  0.000  0.500  0.500
Pd  0.250  0.250  0.255
Pd  0.250  0.250  0.745
Pd  0.250  0.750  0.255
Pd  0.250  0.750  0.745
Pd  0.500  0.000  0.000
Pd  0.500  0.000  0.500
Pd  0.500  0.500  0.500
Pd  0.750  0.250  0.255
Pd  0.750  0.250  0.745
Pd  0.750  0.750  0.255
Pd  0.750  0.750  0.745